A relaxed structure of Li3SiRh2, computed with PBE.

Summary:
* total magnetization: 0.0 μB/f.u.
* crystal system: monoclinic
* energy: -57.00 eV/cell
* space group: C2/c, No. 15

Geometry as POSCAR:
```
Li3SiRh2
1.0
2.732 -3.492 0.000
2.732 3.492 0.000
-2.305 0.000 7.887
Li Si Rh
6 2 4
Direct
0.049 0.290 0.575 Li
0.102 0.898 0.750 Li
0.290 0.049 0.075 Li
0.710 0.951 0.925 Li
0.898 0.102 0.250 Li
0.951 0.710 0.425 Li
0.369 0.631 0.250 Si
0.631 0.369 0.750 Si
0.205 0.479 0.898 Rh
0.479 0.205 0.398 Rh
0.521 0.795 0.602 Rh
0.795 0.521 0.102 Rh
```